The following is a PBE-GGA calculation of a relaxed structure of MgCoCl, from Alexandria.

abc: 3.361 3.887 9.476
angles: 83.50 79.85 90.00
Space group P-1 (No. 2)
Inequivalent atoms, fractional coordinates:
Mg1 0.083 0.301 0.334 (multiplicity 2)
Co1 0.469 0.230 0.562 (multiplicity 2)
Cl1 0.343 0.314 0.817 (multiplicity 2)

Calculated values
* raw formation energy: -0.474 eV/atom
* magnetization: 2.80 μB per cell